Compound: Ta2AgAu
Source: Alexandria via LeMat-Bulk
Functional: PBE-GGA
Structure: relaxed

* calculated formation energy: 0.42 eV/atom
* excess energy over the best structure of this formula in the dataset: 399 meV/atom
* space group: Fm-3m (225)

abc: 4.6728 4.6728 4.6728
angles: 60.00 60.00 60.00
With the nearest neighbours (Å) after each atom.
Fractional positions:
Ta: 0.2500 0.2500 0.2500  4 Au 2.86, 4 Ag 2.86
Ta: 0.7500 0.7500 0.7500  4 Au 2.86, 4 Ag 2.86
Ag: 0.0000 0.0000 0.0000  8 Ta 2.86
Au: 0.5000 0.5000 0.5000  8 Ta 2.86